This record from Alexandria via LeMat-Bulk describes crystalline DyTmBeHg at its relaxed geometry. The functional is PBE.

Results
Its crystal system is cubic. The raw total energy comes out at -3.40 eV per atom. The formation energy comes out at -49 kJ/mol of formula units.

Lattice parameters (Å, degrees): 7.152 7.152 7.152 90.00 90.00 90.00
Space group F-43m (No. 216)
Unique sites:
Dy  0.000  0.000  0.000 (multiplicity 4)
Tm  0.000  0.000  0.500 (multiplicity 4)
Be  0.250  0.250  0.750 (multiplicity 4)
Hg  0.250  0.250  0.250 (multiplicity 4)

---

This record from Alexandria via LeMat-Bulk describes crystalline DyYBeHg at its relaxed geometry. The functional is PBE.

Results
Its crystal system is cubic. The raw total energy comes out at -3.91 eV per atom. The formation energy comes out at -52 kJ/mol of formula units.

Lattice parameters (Å, degrees): 7.211 7.211 7.211 90.00 90.00 90.00
Space group F-43m (No. 216)
Unique sites:
Dy  0.000  0.000  0.000 (multiplicity 4)
Y  0.000  0.000  0.500 (multiplicity 4)
Be  0.250  0.250  0.250 (multiplicity 4)
Hg  0.250  0.250  0.750 (multiplicity 4)

---

This record from Alexandria via LeMat-Bulk describes crystalline DyHoBe2 at its relaxed geometry. The functional is PBE.

Results
Its crystal system is tetragonal. For the energy above the lowest structure with this stoichiometry, the calculation gives 0 meV/atom. The raw total energy comes out at -4.06 eV per atom. The formation energy comes out at 37 kJ/mol of formula units.

Lattice parameters (Å, degrees): 4.794 4.794 3.412 90.00 90.00 90.00
Space group P4/mmm (No. 123)
Unique sites:
Dy  0.000  0.000  0.000 (multiplicity 1)
Ho  0.500  0.500  0.000 (multiplicity 1)
Be  0.000  0.500  0.500 (multiplicity 2)

---

This record from Alexandria via LeMat-Bulk describes crystalline DyHoBe2 at its relaxed geometry. The functional is PBE.

Results
Its crystal system is cubic. For the energy above the lowest structure with this stoichiometry, the calculation gives 1 meV/atom. The raw total energy comes out at -4.06 eV per atom. The formation energy comes out at 37 kJ/mol of formula units.

Lattice parameters (Å, degrees): 6.800 6.800 6.800 90.00 90.00 90.00
Space group Fm-3m (No. 225)
Unique sites:
Dy  0.000  0.000  0.000 (multiplicity 4)
Ho  0.000  0.000  0.500 (multiplicity 4)
Be  0.250  0.250  0.250 (multiplicity 8)

---

This record from Alexandria via LeMat-Bulk describes crystalline DyHoBeIn at its relaxed geometry. The functional is PBE.

Results
Its crystal system is cubic. The raw total energy comes out at -4.03 eV per atom. The formation energy comes out at -46 kJ/mol of formula units.

Lattice parameters (Å, degrees): 7.216 7.216 7.216 90.00 90.00 90.00
Space group F-43m (No. 216)
Unique sites:
Dy  0.000  0.000  0.000 (multiplicity 4)
Ho  0.000  0.000  0.500 (multiplicity 4)
Be  0.250  0.250  0.250 (multiplicity 4)
In  0.250  0.250  0.750 (multiplicity 4)

---

This record from Alexandria via LeMat-Bulk describes crystalline DyHoBeIr at its relaxed geometry. The functional is PBE.

Results
Its crystal system is cubic. The raw total energy comes out at -5.86 eV per atom. The formation energy comes out at -161 kJ/mol of formula units.

Lattice parameters (Å, degrees): 6.836 6.836 6.836 90.00 90.00 90.00
Space group F-43m (No. 216)
Unique sites:
Dy  0.000  0.000  0.000 (multiplicity 4)
Ho  0.000  0.000  0.500 (multiplicity 4)
Be  0.250  0.250  0.250 (multiplicity 4)
Ir  0.250  0.250  0.750 (multiplicity 4)

---

This record from Alexandria via LeMat-Bulk describes crystalline LiDyHoBe at its relaxed geometry. The functional is PBE.

Results
Its crystal system is cubic. The raw total energy comes out at -3.57 eV per atom. The formation energy comes out at 52 kJ/mol of formula units.

Lattice parameters (Å, degrees): 7.027 7.027 7.027 90.00 90.00 90.00
Space group F-43m (No. 216)
Unique sites:
Li  0.000  0.000  0.000 (multiplicity 4)
Dy  0.250  0.250  0.250 (multiplicity 4)
Ho  0.250  0.250  0.750 (multiplicity 4)
Be  0.000  0.000  0.500 (multiplicity 4)

---

This record from Alexandria via LeMat-Bulk describes crystalline DyHoMgBe at its relaxed geometry. The functional is PBE.

Results
Its crystal system is cubic. The raw total energy comes out at -3.54 eV per atom. The formation energy comes out at 35 kJ/mol of formula units.

Lattice parameters (Å, degrees): 7.177 7.177 7.177 90.00 90.00 90.00
Space group F-43m (No. 216)
Unique sites:
Dy  0.000  0.000  0.000 (multiplicity 4)
Ho  0.000  0.000  0.500 (multiplicity 4)
Mg  0.250  0.250  0.250 (multiplicity 4)
Be  0.250  0.250  0.750 (multiplicity 4)

---

This record from Alexandria via LeMat-Bulk describes crystalline DyHoBeNi at its relaxed geometry. The functional is PBE.

Results
Its crystal system is cubic. The raw total energy comes out at -4.82 eV per atom. The formation energy comes out at -56 kJ/mol of formula units.

Lattice parameters (Å, degrees): 6.765 6.765 6.765 90.00 90.00 90.00
Space group F-43m (No. 216)
Unique sites:
Dy  0.000  0.000  0.000 (multiplicity 4)
Ho  0.000  0.000  0.500 (multiplicity 4)
Be  0.250  0.250  0.250 (multiplicity 4)
Ni  0.250  0.250  0.750 (multiplicity 4)

---

This record from Alexandria via LeMat-Bulk describes crystalline DyHoBeOs at its relaxed geometry. The functional is PBE.

Results
Its crystal system is cubic. The raw total energy comes out at -6.11 eV per atom. The formation energy comes out at -31 kJ/mol of formula units.

Lattice parameters (Å, degrees): 6.811 6.811 6.811 90.00 90.00 90.00
Space group F-43m (No. 216)
Unique sites:
Dy  0.000  0.000  0.000 (multiplicity 4)
Ho  0.000  0.000  0.500 (multiplicity 4)
Be  0.250  0.250  0.750 (multiplicity 4)
Os  0.250  0.250  0.250 (multiplicity 4)

---

This record from Alexandria via LeMat-Bulk describes crystalline DyHoBePd at its relaxed geometry. The functional is PBE.

Results
Its crystal system is cubic. The raw total energy comes out at -4.89 eV per atom. The formation energy comes out at -141 kJ/mol of formula units.

Lattice parameters (Å, degrees): 6.933 6.933 6.933 90.00 90.00 90.00
Space group F-43m (No. 216)
Unique sites:
Dy  0.000  0.000  0.000 (multiplicity 4)
Ho  0.000  0.000  0.500 (multiplicity 4)
Be  0.250  0.250  0.750 (multiplicity 4)
Pd  0.250  0.250  0.250 (multiplicity 4)

---

This record from Alexandria via LeMat-Bulk describes crystalline DyHoBeRu at its relaxed geometry. The functional is PBE.

Results
Its crystal system is cubic. The raw total energy comes out at -5.70 eV per atom. The formation energy comes out at -60 kJ/mol of formula units.

Lattice parameters (Å, degrees): 6.811 6.811 6.811 90.00 90.00 90.00
Space group F-43m (No. 216)
Unique sites:
Dy  0.000  0.000  0.000 (multiplicity 4)
Ho  0.000  0.000  0.500 (multiplicity 4)
Be  0.250  0.250  0.750 (multiplicity 4)
Ru  0.250  0.250  0.250 (multiplicity 4)

---

This record from Alexandria via LeMat-Bulk describes crystalline DyBeI at its relaxed geometry. The functional is PBE.

Results
Its crystal system is orthorhombic. The calculation puts the formation energy without anion corrections at -443 meV per atom. The raw total energy comes out at -3.74 eV per atom.

Lattice parameters (Å, degrees): 4.194 23.004 3.977 90.00 90.00 90.00
Space group Cmcm (No. 63)
Unique sites:
Dy  0.000  0.067  0.250 (multiplicity 4)
Be  0.000  0.487  0.250 (multiplicity 4)
I  0.000  0.166  0.750 (multiplicity 4)